1.
Compound: Ba3WN3
Source: the Alexandria database
Functional: PBEsol
Structure: relaxed

Its formation energy without anion corrections is -0.813 eV per atom.

The space group is P6_3/m (No. 176) and the conventional cell measures 8.3198, 8.3198 and 5.5960 Å, with angles of 90.00, 90.00 and 120.00 degrees. The distinct sites, in fractional coordinates, are Ba at (0.0949, 0.3575, 0.2500), W at (0.3333, 0.6667, 0.7500) and N at (0.1219, 0.4336, 0.7500).

2.
Compound: BaMnAu
Source: the Alexandria database
Functional: PBEsol
Structure: relaxed

The space group is F-43m (No. 216) and the conventional cell measures 7.3558, 7.3558 and 7.3558 Å, with angles of 90.00, 90.00 and 90.00 degrees. The distinct sites, in fractional coordinates, are Ba at (0.0000, 0.0000, 0.0000), Mn at (0.2500, 0.2500, 0.7500) and Au at (0.2500, 0.2500, 0.2500).

3.
Compound: BeCoNi2
Source: the Alexandria database
Functional: PBEsol
Structure: relaxed

The space group is P4mm (No. 99) and the conventional cell measures 2.4758, 2.4758 and 6.1799 Å, with angles of 90.00, 90.00 and 90.00 degrees. The distinct sites, in fractional coordinates, are Be at (0.0000, 0.0000, 0.0000), Co at (0.5000, 0.5000, 0.2299), Ni at (0.0000, 0.0000, 0.4979) and Ni at (0.5000, 0.5000, 0.7818).

4.
Compound: Nb2Bi2PbO9
Source: the Alexandria database
Functional: PBEsol
Structure: relaxed

Its formation energy without anion corrections is -1.937 eV per atom.

The space group is Cmc2_1 (No. 36) and the conventional cell measures 24.9753, 5.5814 and 5.5981 Å, with angles of 90.00, 90.00 and 90.00 degrees. The distinct sites, in fractional coordinates, are Nb at (0.0854, 0.2485, 0.0000), Bi at (0.2004, 0.2815, 0.5751), Pb at (0.0000, 0.2481, 0.5207), O at (0.0000, 0.1982, 0.9598), O at (0.0693, 0.4769, 0.2467), O at (0.0885, 0.0360, 0.6925), O at (0.1588, 0.3234, 0.9684) and O at (0.2479, 0.0128, 0.7937).

Number 1: volume 335 Å³/cell, DFT total energy -7.36 eV/atom. Number 2: volume 398 Å³/cell, DFT total energy -4.43 eV/atom. Number 3: volume 38 Å³/cell, DFT total energy -6.19 eV/atom. Number 4: volume 780 Å³/cell, DFT total energy -7.76 eV/atom.